Record 1
DFT (PBE) results for a relaxed Cd2TcNi2 crystal.

**VASP energy**: -0.326 Ry per atom
**Formation enthalpy at 0 K**: 0.3130 eV/atom
**M_tot**: 1.10 μB/f.u.

Unit cell a=6.2397 b=6.2397 c=4.0990 alpha=90.00 beta=90.00 gamma=90.00
Closest atoms and distances in Å follow each position.
Space group P4/mbm (No. 127)
Symmetry-distinct sites (fractional):
Cd  0.1760  0.3240  0.0000 (multiplicity 4)  6 Ni 2.67-2.82
Tc  0.0000  0.0000  0.5000 (multiplicity 2)  4 Ni 2.44
Ni  0.1307  0.6307  0.5000 (multiplicity 4)  1 Ni 2.31, 2 Tc 2.44



Record 2
DFT (PBE) results for a relaxed CdTc2Ni crystal.

**VASP energy**: -0.481 Ry per atom
**Formation enthalpy at 0 K**: 0.3168 eV/atom
**M_tot**: 0.00 μB/f.u.

Unit cell a=2.6706 b=2.6706 c=8.3426 alpha=90.00 beta=90.00 gamma=90.00
Closest atoms and distances in Å follow each position.
Space group P4/mmm (No. 123)
Symmetry-distinct sites (fractional):
Cd  0.0000  0.0000  0.0000 (multiplicity 1)  4 Cd 2.67
Tc  0.5000  0.5000  0.2807 (multiplicity 2)  4 Ni 2.63, 4 Tc 2.67
Ni  0.0000  0.0000  0.5000 (multiplicity 1)  8 Tc 2.63, 4 Ni 2.67



Record 3
DFT (PBE) results for a relaxed CdTc2Ni2 crystal.

**Distance to the lowest polymorph of the same formula**: 0 meV/atom
**VASP energy**: -0.466 Ry per atom
**Formation enthalpy at 0 K**: 0.2981 eV/atom
**M_tot**: 0.00 μB/f.u.

Unit cell a=7.4033 b=7.4033 c=2.6250 alpha=90.00 beta=90.00 gamma=90.00
Closest atoms and distances in Å follow each position.
Space group P4/mbm (No. 127)
Symmetry-distinct sites (fractional):
Cd  0.0000  0.0000  0.0000 (multiplicity 2)  2 Cd 2.62
Tc  0.1752  0.3248  0.5000 (multiplicity 4)  6 Ni 2.55-2.56, 2 Tc 2.62
Ni  0.1164  0.6164  0.0000 (multiplicity 4)  3 Ni 2.44-2.62, 6 Tc 2.55-2.56



Record 4
DFT (PBE) results for a relaxed CdTc2Ni crystal.

**VASP energy**: -0.478 Ry per atom
**Formation enthalpy at 0 K**: 0.3564 eV/atom
**M_tot**: 0.00 μB/f.u.

Unit cell a=3.6712 b=3.6712 c=4.4169 alpha=90.00 beta=90.00 gamma=90.00
Closest atoms and distances in Å follow each position.
Space group P4/mmm (No. 123)
Symmetry-distinct sites (fractional):
Cd  0.0000  0.0000  0.0000 (multiplicity 1)  4 Ni 2.60, 8 Tc 2.87
Tc  0.0000  0.5000  0.5000 (multiplicity 2)  4 Tc 2.60, 4 Cd 2.87, 4 Ni 2.87
Ni  0.5000  0.5000  0.0000 (multiplicity 1)  4 Cd 2.60, 8 Tc 2.87



Record 5
DFT (PBE) results for a relaxed Cd4TcNi crystal.

**VASP energy**: -0.192 Ry per atom
**Formation enthalpy at 0 K**: 0.6911 eV/atom
**M_tot**: 3.32 μB/f.u.

Unit cell a=7.7801 b=7.7801 c=7.7801 alpha=90.00 beta=90.00 gamma=90.00
Closest atoms and distances in Å follow each position.
Space group F-43m (No. 216)
Symmetry-distinct sites (fractional):
Cd  0.1249  0.1249  0.1249 (multiplicity 16)  6 Cd 2.75
Tc  0.0000  0.0000  0.5000 (multiplicity 4)  12 Cd 3.23, 4 Ni 3.37
Ni  0.2500  0.2500  0.7500 (multiplicity 4)  12 Cd 3.23, 4 Tc 3.37



Record 6
DFT (PBE) results for a relaxed CdTc2Ni crystal.

**VASP energy**: -0.482 Ry per atom
**Formation enthalpy at 0 K**: 0.3053 eV/atom
**M_tot**: 0.00 μB/f.u.

Unit cell a=8.9249 b=2.7155 c=5.0429 alpha=90.00 beta=97.69 gamma=90.00
Closest atoms and distances in Å follow each position.
Space group Cm (No. 8)
Symmetry-distinct sites (fractional):
Cd  0.0000  0.0000  0.0000 (multiplicity 2)  3 Ni 2.64-2.73, 2 Cd 2.72, 5 Tc 2.86-2.88
Tc  0.0204  0.5000  0.5077 (multiplicity 2)  3 Tc 2.44-2.72, 2 Ni 2.67
Tc  0.2584  0.5000  0.3210 (multiplicity 2)  3 Tc 2.44-2.72, 2 Ni 2.66
Ni  0.2502  0.0000  0.7730 (multiplicity 2)  3 Cd 2.64-2.73, 5 Tc 2.66-2.91, 2 Ni 2.72



Record 7
DFT (PBE) results for a relaxed CdNiTe2 crystal.

**VASP energy**: -0.225 Ry per atom
**M_tot**: 0.00 μB/f.u.
**Raw formation energy**: 73 kJ/mol of formula units

Unit cell a=3.2557 b=3.2557 c=8.9375 alpha=90.00 beta=90.00 gamma=90.00
Closest atoms and distances in Å follow each position.
Space group P4/mmm (No. 123)
Symmetry-distinct sites (fractional):
Cd  0.0000  0.0000  0.0000 (multiplicity 1)  4 Cd 3.26, 8 Te 3.64
Ni  0.0000  0.0000  0.5000 (multiplicity 1)  8 Te 2.83
Te  0.5000  0.5000  0.3156 (multiplicity 2)  4 Ni 2.83



Record 8
DFT (PBE) results for a relaxed CdNiTe crystal.

**Distance to the lowest polymorph of the same formula**: 0 meV/atom
**VASP energy**: -0.249 Ry per atom
**M_tot**: 0.00 μB/f.u.
**Raw formation energy**: -32 kJ/mol of formula units

Unit cell a=6.2929 b=6.2929 c=6.2929 alpha=90.00 beta=90.00 gamma=90.00
Closest atoms and distances in Å follow each position.
Space group F-43m (No. 216)
Symmetry-distinct sites (fractional):
Cd  0.0000  0.0000  0.0000 (multiplicity 4)  4 Ni 2.72
Ni  0.2500  0.2500  0.7500 (multiplicity 4)  4 Cd 2.72, 4 Te 2.72
Te  0.0000  0.0000  0.5000 (multiplicity 4)  4 Ni 2.72



Record 9
DFT (PBE) results for a relaxed CdNi3Te crystal.

**Distance to the lowest polymorph of the same formula**: 0 meV/atom
**VASP energy**: -0.272 Ry per atom
**M_tot**: 0.00 μB/f.u.
**Raw formation energy**: 280 kJ/mol of formula units

Unit cell a=4.6464 b=4.6464 c=4.6464 alpha=90.00 beta=90.00 gamma=90.00
Closest atoms and distances in Å follow each position.
Space group Pm-3m (No. 221)
Symmetry-distinct sites (fractional):
Cd  0.0000  0.0000  0.0000 (multiplicity 1)  12 Ni 3.29
Ni  0.0000  0.5000  0.5000 (multiplicity 3)  2 Te 2.32
Te  0.5000  0.5000  0.5000 (multiplicity 1)  6 Ni 2.32



Record 10
DFT (PBE) results for a relaxed CdNiTe4 crystal.

**VASP energy**: -0.180 Ry per atom
**M_tot**: 1.06 μB/f.u.
**Raw formation energy**: 444 kJ/mol of formula units

Unit cell a=8.9376 b=8.9376 c=8.9376 alpha=90.00 beta=90.00 gamma=90.00
Closest atoms and distances in Å follow each position.
Space group F-43m (No. 216)
Symmetry-distinct sites (fractional):
Cd  0.0000  0.0000  0.0000 (multiplicity 4)  12 Te 3.71, 4 Ni 3.87
Ni  0.2500  0.2500  0.7500 (multiplicity 4)  12 Te 3.71, 4 Cd 3.87
Te  0.1251  0.1251  0.3749 (multiplicity 16)  6 Te 3.16



Record 11
DFT (PBE) results for a relaxed CdNiTe2 crystal.

**VASP energy**: -0.245 Ry per atom
**M_tot**: 0.00 μB/f.u.
**Raw formation energy**: -32 kJ/mol of formula units

Unit cell a=3.8591 b=3.8591 c=25.5544 alpha=90.00 beta=90.00 gamma=120.00
Closest atoms and distances in Å follow each position.
Space group R-3m (No. 166, hexagonal axes)
Symmetry-distinct sites (fractional):
Cd  0.0000  0.0000  0.0000 (multiplicity 3)  2 Te 2.93
Ni  0.0000  0.0000  0.5000 (multiplicity 3)  6 Te 2.60
Te  0.0000  0.0000  0.1146 (multiplicity 6)  3 Ni 2.60



Record 12
DFT (PBE) results for a relaxed CdNiTe2 crystal.

**VASP energy**: -0.212 Ry per atom
**M_tot**: 0.00 μB/f.u.
**Raw formation energy**: 138 kJ/mol of formula units

Unit cell a=6.2076 b=7.6818 c=3.8416 alpha=90.00 beta=90.00 gamma=90.00
Closest atoms and distances in Å follow each position.
Space group Cmmm (No. 65)
Symmetry-distinct sites (fractional):
Cd  0.0000  0.0000  0.0000 (multiplicity 2)  2 Ni 3.10, 8 Te 3.13
Ni  0.0000  0.5000  0.0000 (multiplicity 2)  2 Cd 3.10, 8 Te 3.13
Te  0.2500  0.2500  0.5000 (multiplicity 4)  2 Te 3.10, 4 Cd 3.13, 4 Ni 3.13



V for the records above, in order: 160, 59, 144, 60, 471, 121, 95, 249, 100, 714, 330, 183 Å³ per cell